A relaxed structure of Sb2WSO. Source: Alexandria via LeMat-Bulk, functional PBE with a Hubbard U.

The total magnetization comes out at 2.70 μB per formula unit. As for the total energy: -0.26335 Ry/atom.

The structure belongs to space group P4/mmm (No. 123); the cell edges are 5.198, 5.198 and 4.800 Å and the angles 90.00°, 90.00° and 90.00°. The distinct sites, in fractional coordinates, are Sb at (0.000, 0.500, 0.000), W at (0.000, 0.000, 0.500), S at (0.000, 0.000, 0.000) and O at (0.500, 0.500, 0.500).